The following is a DFT calculation (GGA-PBE) of crystalline La3Dy6Sc2 at its relaxed geometry.

- ρ: 7.11 Mg/m³
- Raw total energy: -54.57 eV for the cell shown
- Total magnetization: 0.00 μB/f.u.
- Energy relative to the elements: 0.5 eV/f.u.

Cell lengths 3.5557, 3.5557, 31.6637 Å; angles 86.78, 86.78, 60.00 degrees
Closest atoms and distances in Å follow each position.
Positions (direct):
Dy 0.3648 0.3648 0.9057  6 Dy 3.56, 6 La 3.61-3.62
La 0.7295 0.7295 0.8115  6 La 3.56, 6 Dy 3.61-3.66
Dy 0.9052 0.9052 0.2844  3 Sc 3.37, 6 Dy 3.56, 3 La 3.66
Dy 0.0948 0.0948 0.7156  3 Sc 3.37, 6 Dy 3.56, 3 La 3.66
Sc 0.5437 0.5437 0.3690  6 Dy 3.37-3.38, 6 Sc 3.56
Dy 0.6352 0.6352 0.0943  6 Dy 3.56, 6 La 3.61-3.62
Dy 0.8180 0.8180 0.5460  3 Sc 3.38, 9 Dy 3.56
La 0.2705 0.2705 0.1885  6 La 3.56, 6 Dy 3.61-3.66
La 0.0000 0.0000 0.0000  6 La 3.56, 6 Dy 3.62
Sc 0.4563 0.4563 0.6310  6 Dy 3.37-3.38, 6 Sc 3.56
Dy 0.1820 0.1820 0.4540  3 Sc 3.38, 9 Dy 3.56

***

The following is a DFT calculation (GGA-PBE) of crystalline CaTe2Cl at its relaxed geometry.

- ρ: 4.85 Mg/m³
- Raw total energy: -11.99 eV for the cell shown
- Total magnetization: 0.00 μB/f.u.
- Polymorph energy (0 for the lowest one): 616 meV/atom
- ΔE_f (raw): -466 meV/atom

Cell lengths 5.4297, 5.4297, 5.4297 Å; angles 60.00, 60.00, 60.00 degrees
Closest atoms and distances in Å follow each position.
Positions (direct):
Te 0.2500 0.2500 0.2500  4 Cl 3.33, 4 Ca 3.33
Cl 0.0000 0.0000 0.0000  8 Te 3.33
Ca 0.5000 0.5000 0.5000  8 Te 3.33
Te 0.7500 0.7500 0.7500  4 Ca 3.33, 4 Cl 3.33

***

The following is a DFT calculation (GGA-PBE) of crystalline VGa2Ir2 at its relaxed geometry.

- ρ: 12.80 Mg/m³
- Raw total energy: -68.23 eV for the cell shown
- Total magnetization: 1.75 μB/f.u.
- Energy relative to the elements: -1.2 eV/f.u.
- Polymorph energy (0 for the lowest one): 0 meV/atom

Cell lengths 7.2722, 7.2722, 2.8209 Å; angles 90.00, 90.00, 90.00 degrees
Closest atoms and distances in Å follow each position.
Positions (direct):
Ir 0.1693 0.6693 0.5000  6 Ga 2.50-2.61
V 0.5000 0.5000 0.0000  2 V 2.82, 4 Ga 2.85, 8 Ir 3.05
Ga 0.6305 0.1305 0.0000  6 Ir 2.50-2.61, 1 Ga 2.68
Ir 0.8307 0.3307 0.5000  6 Ga 2.50-2.61
Ir 0.3307 0.1693 0.5000  6 Ga 2.50-2.61
Ga 0.8695 0.6305 0.0000  6 Ir 2.50-2.61, 1 Ga 2.68
Ir 0.6693 0.8307 0.5000  6 Ga 2.50-2.61
Ga 0.1305 0.3695 0.0000  6 Ir 2.50-2.61, 1 Ga 2.68
Ga 0.3695 0.8695 0.0000  6 Ir 2.50-2.61, 1 Ga 2.68
V 0.0000 0.0000 0.0000  2 V 2.82, 4 Ga 2.85, 8 Ir 3.05